one) DFT (GGA-PBE) results for a relaxed Tb2TmPa crystal.

The structure in POSCAR format:
```
Tb2TmPa
1.0
3.4087 0.0000 0.0000
0.0000 3.4087 0.0000
0.0000 0.0000 10.1478
Tb Tm Pa
2 1 1
Cartesian
0.0000 0.0000 2.3865
0.0000 0.0000 7.7613
1.7044 1.7044 5.0739
1.7044 1.7044 0.0000
```

Output
Its symmetry is P4/mmm, No. 123. As for the density: 10.11 g cm⁻³. Its total magnetic moment is 0.00 μB per formula unit.


two) DFT (GGA-PBE) results for a relaxed Tb2TmPa crystal.

The structure in POSCAR format:
```
Tb2TmPa
1.0
1.6630 0.9601 12.1768
-1.6630 0.9601 12.1768
0.0000 -1.9202 12.1768
Tb Tm Pa
2 1 1
Cartesian
0.0000 0.0000 3.2031
0.0000 0.0000 33.3273
0.0000 0.0000 18.2652
0.0000 0.0000 0.0000
```

Output
Its symmetry is R-3m, No. 166. As for the density: 10.22 g cm⁻³. Its total magnetic moment is 0.00 μB per formula unit.


three) DFT (GGA-PBE) results for a relaxed Tb2TmPa crystal.

The structure in POSCAR format:
```
Tb2TmPa
1.0
4.9130 0.0000 0.0000
0.0000 4.9130 0.0000
0.0000 0.0000 4.8659
Tb Tm Pa
2 1 1
Cartesian
0.0000 2.4565 0.0000
2.4565 0.0000 0.0000
0.0000 0.0000 2.4329
2.4565 2.4565 2.4329
```

Output
Its symmetry is P4/mmm, No. 123. As for the density: 10.15 g cm⁻³. Its total magnetic moment is 0.00 μB per formula unit.


four) DFT (GGA-PBE) results for a relaxed Tb2TmPa crystal.

The structure in POSCAR format:
```
Tb2TmPa
1.0
1.7134 0.9892 11.4757
-1.7134 0.9892 11.4757
0.0000 -1.9785 11.4757
Tb Tm Pa
2 1 1
Cartesian
0.0000 0.0000 0.0000
0.0000 0.0000 5.5894
0.0000 0.0000 20.0098
0.0000 0.0000 14.2951
```

Output
Its symmetry is R3m, No. 160. As for the density: 10.21 g cm⁻³. Its total magnetic moment is 0.00 μB per formula unit.


Quick look at relative energies in meV per atom: one) 21; two) 160; three) 96; four) 0.


one) DFT (GGA-PBE) results for a relaxed TbYPa crystal.

The structure in POSCAR format:
```
TbYPa
1.0
1.6728 -10.3442 0.0000
1.6728 10.3442 0.0000
0.0000 0.0000 5.1615
Tb Y Pa
2 2 2
Cartesian
1.6728 6.0448 3.8712
1.6728 -6.0448 1.2904
1.6728 2.4268 3.8712
1.6728 -2.4268 1.2904
1.6728 9.6878 3.8712
1.6728 -9.6878 1.2904
```

Output
Its symmetry is Cmcm, No. 63. As for the density: 8.90 g cm⁻³. Its total magnetic moment is 0.00 μB per formula unit.


two) DFT (GGA-PBE) results for a relaxed TbYPa crystal.

The structure in POSCAR format:
```
TbYPa
1.0
3.4361 0.0000 0.0000
-1.7181 2.9758 0.0000
0.0000 0.0000 8.5657
Tb Y Pa
1 1 1
Cartesian
0.0000 0.0000 0.0000
1.7181 0.9919 3.0947
0.0000 1.9838 5.8391
```

Output
Its symmetry is P3m1, No. 156. As for the density: 9.08 g cm⁻³. Its total magnetic moment is 0.00 μB per formula unit.


Quick look at relative energies in meV per atom: one) 31; two) 0.


one) DFT (GGA-PBE) results for a relaxed TbPaZn4 crystal.

The structure in POSCAR format:
```
TbPaZn4
1.0
0.0000 3.8520 3.8520
3.8520 0.0000 3.8520
3.8520 3.8520 0.0000
Tb Pa Zn
1 1 4
Cartesian
0.0000 0.0000 0.0000
5.7779 5.7779 5.7779
2.8884 2.8884 2.8884
4.8156 4.8156 2.8884
4.8156 2.8884 4.8156
2.8884 4.8156 4.8156
```

Output
Its symmetry is F-43m, No. 216. As for the density: 9.47 g cm⁻³. Its total magnetic moment is 0.00 μB per formula unit.


two) DFT (GGA-PBE) results for a relaxed TbPaZn4 crystal.

The structure in POSCAR format:
```
TbPaZn4
1.0
3.2998 0.0000 0.0000
0.0000 4.5467 0.0000
0.0000 0.0000 7.8773
Tb Pa Zn
1 1 4
Cartesian
0.0000 0.0000 0.0000
0.0000 2.2734 3.9386
1.6499 0.0000 2.6186
1.6499 0.0000 5.2587
1.6499 2.2734 1.3098
1.6499 2.2734 6.5675
```

Output
Its symmetry is Pmmm, No. 47. As for the density: 9.16 g cm⁻³. Its total magnetic moment is 0.28 μB per formula unit.


Quick look at relative energies in meV per atom: one) 55; two) 0.


one) DFT (GGA-PBE) results for a relaxed PaTc3 crystal.

The structure in POSCAR format:
```
PaTc3
1.0
-2.0912 2.0912 3.8508
2.0912 -2.0912 3.8508
2.0912 2.0912 -3.8508
Pa Tc
1 3
Cartesian
0.0000 0.0000 0.0000
2.0912 0.0000 1.9254
0.0000 0.0000 3.8508
0.0000 2.0912 1.9254
```

Output
Its symmetry is I4/mmm, No. 139. As for the density: 12.94 g cm⁻³. Its total magnetic moment is 0.00 μB per formula unit.


two) DFT (GGA-PBE) results for a relaxed PaTc3 crystal.

The structure in POSCAR format:
```
PaTc3
1.0
0.0000 3.2543 3.2543
3.2543 0.0000 3.2543
3.2543 3.2543 0.0000
Pa Tc
1 3
Cartesian
0.0000 0.0000 0.0000
1.6271 1.6271 1.6271
3.2543 3.2543 3.2543
4.8814 4.8814 4.8814
```

Output
Its symmetry is Fm-3m, No. 225. As for the density: 12.65 g cm⁻³. Its total magnetic moment is 0.00 μB per formula unit.


Quick look at relative energies in meV per atom: one) 0; two) 73.


one) DFT (GGA-PBE) results for a relaxed PaTc3 crystal.

The structure in POSCAR format:
```
PaTc3
1.0
3.0549 0.0000 0.0000
0.0000 4.4170 0.0000
0.0000 0.0000 5.0148
Pa Tc
1 3
Cartesian
0.0000 0.0000 0.0000
0.0000 2.2085 1.7717
1.5275 0.0000 2.4813
1.5275 2.2085 4.2210
```

Output
Its symmetry is Pmm2, No. 25. As for the density: 12.88 g cm⁻³. Its total magnetic moment is 0.00 μB per formula unit.


two) DFT (GGA-PBE) results for a relaxed PaTc3 crystal.

The structure in POSCAR format:
```
PaTc3
1.0
-1.8658 1.8658 5.4870
1.8658 -1.8658 5.4870
1.8658 1.8658 -5.4870
Pa Tc
1 3
Cartesian
0.0000 0.0000 0.0000
0.0000 0.0000 3.0107
0.0000 0.0000 5.4870
0.0000 0.0000 7.9632
```

Output
Its symmetry is I4/mmm, No. 139. As for the density: 11.41 g cm⁻³. Its total magnetic moment is 0.00 μB per formula unit.


Quick look at relative energies in meV per atom: one) 0; two) 384.


one) DFT (GGA-PBE) results for a relaxed PaTc2 crystal.

The structure in POSCAR format:
```
PaTc2
1.0
5.1745 0.0000 0.0000
-2.5872 4.4812 0.0000
0.0000 0.0000 9.4960
Pa Tc
4 8
Cartesian
0.0000 2.9875 0.5918
0.0000 2.9875 4.1562
2.5872 1.4937 5.3398
2.5872 1.4937 8.9042
0.0000 0.0000 0.0000
0.0000 0.0000 4.7480
0.0000 1.5187 7.1220
-1.2720 3.7219 7.1220
1.3153 0.7594 2.3740
1.2720 3.7219 7.1220
3.8592 0.7594 2.3740
2.5872 2.9625 2.3740
```

Output
Its symmetry is P6_3/mmc, No. 194. As for the density: 12.88 g cm⁻³. Its total magnetic moment is 0.00 μB per formula unit.


two) DFT (GGA-PBE) results for a relaxed PaTc2 crystal.

The structure in POSCAR format:
```
PaTc2
1.0
0.0000 3.8044 3.8044
3.8044 0.0000 3.8044
3.8044 3.8044 0.0000
Pa Tc
2 4
Cartesian
0.9511 0.9511 0.9511
6.6577 6.6577 6.6577
3.8044 1.9022 1.9022
1.9022 3.8044 1.9022
1.9022 1.9022 3.8044
3.8044 3.8044 3.8044
```

Output
Its symmetry is Fd-3m, No. 227. As for the density: 12.88 g cm⁻³. Its total magnetic moment is 0.00 μB per formula unit.


three) DFT (GGA-PBE) results for a relaxed PaTc2 crystal.

The structure in POSCAR format:
```
PaTc2
1.0
-1.5044 1.5044 6.0099
1.5044 -1.5044 6.0099
1.5044 1.5044 -6.0099
Pa Tc
1 2
Cartesian
0.0000 0.0000 0.0000
0.0000 0.0000 3.7372
0.0000 0.0000 8.2826
```

Output
Its symmetry is I4/mmm, No. 139. As for the density: 13.03 g cm⁻³. Its total magnetic moment is 0.00 μB per formula unit.


Quick look at relative energies in meV per atom: one) 0; two) 39; three) 148.


one) DFT (GGA-PBE) results for a relaxed Pa2Tc crystal.

The structure in POSCAR format:
```
Pa2Tc
1.0
6.3148 -1.6042 0.0000
6.3148 1.6042 0.0000
-2.8246 0.0000 6.2104
Pa Tc
4 2
Cartesian
-0.7155 0.0000 1.7579
1.5775 0.0000 5.7242
8.2274 0.0000 0.4862
10.5204 0.0000 4.4525
2.7710 0.0000 2.5796
7.0340 0.0000 3.6308
```

Output
Its symmetry is C2/m, No. 12. As for the density: 14.78 g cm⁻³. Its total magnetic moment is 0.00 μB per formula unit.


two) DFT (GGA-PBE) results for a relaxed Pa2Tc crystal.

The structure in POSCAR format:
```
Pa2Tc
1.0
-1.7846 1.7846 4.9229
1.7846 -1.7846 4.9229
1.7846 1.7846 -4.9229
Pa Tc
2 1
Cartesian
0.0000 0.0000 1.6096
0.0000 0.0000 8.2361
0.0000 0.0000 4.9229
```

Output
Its symmetry is I4/mmm, No. 139. As for the density: 14.83 g cm⁻³. Its total magnetic moment is 0.00 μB per formula unit.


Quick look at relative energies in meV per atom: one) 0; two) 10.


one) DFT (GGA-PBE) results for a relaxed PaTc crystal.

The structure in POSCAR format:
```
PaTc
1.0
11.8851 0.0000 0.0000
0.0000 3.7315 0.0000
0.0000 0.0000 5.5189
Pa Tc
6 6
Cartesian
1.0047 0.0000 1.3442
2.9713 0.0000 4.2483
4.9379 0.0000 1.3442
6.9472 0.0000 4.1747
8.9139 0.0000 1.2706
10.8805 0.0000 4.1747
0.9797 1.8658 3.9869
2.9713 1.8658 1.6299
4.9629 1.8658 3.9869
6.9223 1.8658 1.5320
8.9139 1.8658 3.8890
10.9054 1.8658 1.5320
```

Output
Its symmetry is Pmma, No. 51. As for the density: 13.39 g cm⁻³. Its total magnetic moment is 0.00 μB per formula unit.


two) DFT (GGA-PBE) results for a relaxed PaTc crystal.

The structure in POSCAR format:
```
PaTc
1.0
3.4396 0.0000 0.0000
0.0000 3.4396 0.0000
0.0000 0.0000 3.4396
Pa Tc
1 1
Cartesian
0.0000 0.0000 0.0000
1.7198 1.7198 1.7198
```

Output
Its symmetry is Pm-3m, No. 221. As for the density: 13.43 g cm⁻³. Its total magnetic moment is 0.00 μB per formula unit.


Quick look at relative energies in meV per atom: one) 0; two) 38.


one) DFT (GGA-PBE) results for a relaxed Pa4Tc crystal.

The structure in POSCAR format:
```
Pa4Tc
1.0
5.1955 0.0000 0.0000
0.0000 5.1955 0.0000
0.0000 0.0000 5.1955
Pa Tc
4 1
Cartesian
0.0000 0.0000 0.0000
0.0000 2.5977 2.5977
2.5977 0.0000 2.5977
2.5977 2.5977 0.0000
2.5977 2.5977 2.5977
```

Output
Its symmetry is Pm-3m, No. 221. As for the density: 12.10 g cm⁻³. Its total magnetic moment is 0.00 μB per formula unit.


two) DFT (GGA-PBE) results for a relaxed Pa4Tc crystal.

The structure in POSCAR format:
```
Pa4Tc
1.0
-3.0003 3.0003 6.6273
3.0003 -3.0003 6.6273
3.0003 3.0003 -6.6273
Pa Tc
8 2
Cartesian
4.5627 0.6320 0.7724
0.8682 0.0623 2.5413
3.8685 0.0623 4.0860
1.4379 2.3684 0.7724
1.5624 0.6320 5.8549
-0.8682 2.9381 2.5413
2.1321 2.9381 4.0860
-1.5624 2.3684 5.8549
3.0003 1.5002 -1.6568
0.0000 1.5002 8.2841
```

Output
Its symmetry is I4_1/a, No. 88. As for the density: 14.23 g cm⁻³. Its total magnetic moment is 0.00 μB per formula unit.


Quick look at relative energies in meV per atom: one) 503; two) 0.


one) DFT (GGA-PBE) results for a relaxed Pa2TlTc crystal.

The structure in POSCAR format:
```
Pa2TlTc
1.0
2.3579 1.3613 5.0354
-2.3579 1.3613 5.0354
0.0000 -2.7227 5.0354
Pa Tl Tc
2 1 1
Cartesian
0.0000 0.0000 3.5382
0.0000 0.0000 11.5681
0.0000 0.0000 0.0000
0.0000 0.0000 7.5531
```

Output
Its symmetry is R-3m, No. 166. As for the density: 13.09 g cm⁻³. Its total magnetic moment is 0.00 μB per formula unit.


two) DFT (GGA-PBE) results for a relaxed Pa2TlTc crystal.

The structure in POSCAR format:
```
Pa2TlTc
1.0
3.2218 0.0000 0.0000
0.0000 3.2218 0.0000
0.0000 0.0000 8.8951
Pa Tl Tc
2 1 1
Cartesian
0.0000 0.0000 1.8483
0.0000 0.0000 7.0468
1.6109 1.6109 4.4476
1.6109 1.6109 0.0000
```

Output
Its symmetry is P4/mmm, No. 123. As for the density: 13.75 g cm⁻³. Its total magnetic moment is 0.00 μB per formula unit.


three) DFT (GGA-PBE) results for a relaxed Pa2TlTc crystal.

The structure in POSCAR format:
```
Pa2TlTc
1.0
4.4668 0.0000 0.0000
0.0000 4.4668 0.0000
0.0000 0.0000 4.4309
Pa Tl Tc
2 1 1
Cartesian
0.0000 2.2334 0.0000
2.2334 0.0000 0.0000
0.0000 0.0000 2.2155
2.2334 2.2334 2.2155
```

Output
Its symmetry is P4/mmm, No. 123. As for the density: 14.36 g cm⁻³. Its total magnetic moment is 0.00 μB per formula unit.


Quick look at relative energies in meV per atom: one) 375; two) 0; three) 250.


one) DFT (GGA-PBE) results for a relaxed Tm2Pa2Tc3 crystal.

The structure in POSCAR format:
```
Tm2Pa2Tc3
1.0
6.7487 -1.7389 0.0000
6.7487 1.7389 0.0000
-4.5165 0.0000 6.6580
Tm Pa Tc
2 2 3
Cartesian
0.0780 0.0000 1.8964
8.9030 0.0000 4.7615
-1.0614 0.0000 5.1561
10.0423 0.0000 1.5019
5.1984 0.0000 0.1185
4.4905 0.0000 3.3290
3.7826 0.0000 6.5394
```

Output
Its symmetry is C2/m, No. 12. As for the density: 11.62 g cm⁻³. Its total magnetic moment is 0.00 μB per formula unit.


two) DFT (GGA-PBE) results for a relaxed Tm2Pa2Tc3 crystal.

The structure in POSCAR format:
```
Tm2Pa2Tc3
1.0
4.6040 0.0000 0.0000
-2.0598 4.1248 0.0000
-0.4876 -2.5355 8.2238
Tm Pa Tc
2 2 3
Cartesian
-0.1123 0.0737 3.1683
2.1689 1.5156 5.0555
0.1343 2.7676 1.1679
1.9224 -1.1783 7.0558
0.0000 0.0000 0.0000
-0.1606 0.1095 6.4187
2.2172 1.4799 1.8050
```

Output
Its symmetry is P-1, No. 2. As for the density: 11.63 g cm⁻³. Its total magnetic moment is 0.00 μB per formula unit.


Quick look at relative energies in meV per atom: one) 0; two) 45.


one) DFT (GGA-PBE) results for a relaxed UPaTc crystal.

The structure in POSCAR format:
```
UPaTc
1.0
3.4283 0.0000 0.0000
0.0000 3.4283 0.0000
0.0000 0.0000 10.0831
U Pa Tc
2 2 2
Cartesian
0.8571 0.8571 0.6159
2.5712 2.5712 9.4673
0.8571 0.8571 4.0629
2.5712 2.5712 6.0202
0.8571 0.8571 7.5539
2.5712 2.5712 2.5292
```

Output
Its symmetry is P4/nmm, No. 129. As for the density: 15.89 g cm⁻³. Its total magnetic moment is 0.00 μB per formula unit.


two) DFT (GGA-PBE) results for a relaxed UPaTc crystal.

The structure in POSCAR format:
```
UPaTc
1.0
3.3413 0.0000 0.0000
-1.6706 2.8936 0.0000
0.0000 0.0000 6.3172
U Pa Tc
1 1 1
Cartesian
0.0000 0.0000 0.0000
1.6706 0.9645 2.1082
0.0000 1.9291 4.3003
```

Output
Its symmetry is P3m1, No. 156. As for the density: 15.42 g cm⁻³. Its total magnetic moment is 1.21 μB per formula unit.


Quick look at relative energies in meV per atom: one) 0; two) 326.